Record 1
The following is a DFT calculation (PBE-GGA) of an optimized crystal structure of SmDyY.

Lattice parameters (Å, degrees): 3.5978 3.5978 17.3873 90.00 90.00 120.00
Space group P6_3mc (No. 186)
Inequivalent atoms, fractional coordinates:
Sm 0.3333 0.6667 0.0000
Dy 0.0000 0.0000 0.3342
Y 0.3333 0.6667 0.6696

Values from the calculation:
The calculation puts the total energy at -5.2563 eV per atom. As for the energy relative to the elements: 0.005 eV/atom. As for the magnetization: 0.00 μB per formula unit. The density of states at the Fermi level comes out at 1.4227 states/eV/atom.

***

Record 2
The following is a DFT calculation (PBE-GGA) of an optimized crystal structure of GaNiSn2Hg.

Lattice parameters (Å, degrees): 5.068 5.068 4.607 90.00 90.00 90.00
Space group P4/mmm (No. 123)
Inequivalent atoms, fractional coordinates:
Ga 0.000 0.000 0.000
Ni 0.000 0.000 0.500
Sn 0.000 0.500 0.500
Hg 0.500 0.500 0.000

Values from the calculation:
The calculation puts the total energy at -3.4365 eV per atom. As for the energy relative to the elements: -0.013 eV/atom. As for the magnetization: 0.00 μB per formula unit. The density of states at the Fermi level comes out at 0.4055 states/eV/atom.

***

Record 3
The following is a DFT calculation (PBE-GGA) of an optimized crystal structure of KNaNpO3.

Lattice parameters (Å, degrees): 6.762 3.499 8.587 90.00 92.83 90.00
Space group P2_1/m (No. 11)
Inequivalent atoms, fractional coordinates:
K 0.061 0.250 0.321
Na 0.291 0.750 0.983
Np 0.439 0.250 0.674
O 0.194 0.250 0.808
O 0.321 0.750 0.510
O 0.423 0.250 0.191

Values from the calculation:
The calculation puts the total energy at -7.2906 eV per atom. As for the magnetization: 3.00 μB per formula unit. The density of states at the Fermi level comes out at 0.9960 states/eV/atom.